## YMoF3 (PBE with a Hubbard U)

Data for a geometry-optimized YMoF3 structure.

Cell: 4.5235 4.5235 4.5235 Å, 90.00 90.00 90.00°
With the nearest neighbours (Å) after each atom.
Atoms (fractional coordinates):
F 0.0000 0.5000 0.0000  2 Y 2.26
F 0.0000 0.0000 0.5000  2 Y 2.26
F 0.5000 0.0000 0.0000  2 Y 2.26
Y 0.0000 0.0000 0.0000  6 F 2.26
Mo 0.5000 0.5000 0.5000  12 F 3.20

Values from the calculation:
The crystal system is cubic. For the calculated volume, the calculation gives 18.51 Å³ per atom. Its symmetry is No. 221. The energy relative to the lowest polymorph listed for this composition is 0 meV/atom. The value obtained for the total DFT energy (no corrections) is -31.00 eV per cell. For the density of states at the Fermi level, the calculation gives 1.03 states/eV/f.u.